Record 1
# Ru2SeCl

Crystalline Ru2SeCl at its relaxed geometry (PBE-GGA, Alexandria).

Results
**E above lowest polymorph**: 2.90 eV/f.u.
**Uncorrected formation energy**: 75.59 kJ/mol of atoms
**D(E_F)**: 6.47 states/eV/f.u.
**SG**: I-4m2, No. 119

Unit cell a=5.4904 b=5.4904 c=5.4904 alpha=141.65 beta=141.65 gamma=55.35
Fractional positions:
Cl 0.7500 0.2500 0.5000
Ru 0.0000 0.0000 0.0000
Ru 0.2500 0.7500 0.5000
Se 0.5000 0.5000 0.0000

Record 2
# RuSe3Cl

Crystalline RuSe3Cl at its relaxed geometry (PBE-GGA, Alexandria).

Results
**E above lowest polymorph**: 0.00 eV/f.u.
**Uncorrected formation energy**: 41.27 kJ/mol of atoms
**D(E_F)**: 6.68 states/eV/f.u.
**SG**: Pm-3m, No. 221

Unit cell a=4.8823 b=4.8823 c=4.8823 alpha=90.00 beta=90.00 gamma=90.00
Fractional positions:
Se 0.0000 0.5000 0.0000
Se 0.0000 0.0000 0.5000
Se 0.5000 0.0000 0.0000
Cl 0.5000 0.5000 0.5000
Ru 0.0000 0.0000 0.0000

Record 3
# RuSe2Cl6

Crystalline RuSe2Cl6 at its relaxed geometry (PBE-GGA, Alexandria).

Results
**Uncorrected formation energy**: -23.04 kJ/mol of atoms
**D(E_F)**: 1.10 states/eV/f.u.
**SG**: P-1, No. 2

Unit cell a=3.6298 b=9.1902 c=9.0680 alpha=68.67 beta=90.95 gamma=90.86
Fractional positions:
Cl 0.5058 0.1780 0.9770
Cl 0.9856 0.4057 0.2355
Cl 0.4942 0.8220 0.0230
Cl 0.9913 0.0640 0.7330
Cl 0.0087 0.9360 0.2670
Cl 0.0144 0.5943 0.7645
Ru 0.0000 0.0000 0.0000
Se 0.5056 0.5915 0.5481
Se 0.4944 0.4085 0.4519

Record 4
# RuSeCl2

Crystalline RuSeCl2 at its relaxed geometry (PBE-GGA, Alexandria).

Results
**E above lowest polymorph**: 1.63 eV/f.u.
**Uncorrected formation energy**: 7.04 kJ/mol of atoms
**D(E_F)**: 2.11 states/eV/f.u.
**SG**: Imm2, No. 44

Unit cell a=6.2547 b=6.2547 c=6.2547 alpha=150.83 beta=133.95 gamma=55.44
Fractional positions:
Cl 0.9961 0.9961 0.0000
Cl 0.6773 0.1773 0.5000
Ru 0.4913 0.4913 0.0000
Se 0.3352 0.8352 0.5000

Record 5
# RuSe2Cl

Crystalline RuSe2Cl at its relaxed geometry (PBE-GGA, Alexandria).

Results
**E above lowest polymorph**: 0.78 eV/f.u.
**Uncorrected formation energy**: 0.55 kJ/mol of atoms
**D(E_F)**: 2.20 states/eV/f.u.
**SG**: I-42d, No. 122

Unit cell a=6.5776 b=6.5776 c=6.7247 alpha=60.72 beta=60.72 gamma=90.00
Fractional positions:
Se 0.0458 0.6250 0.2500
Se 0.3750 0.2958 0.7500
Se 0.7042 0.1250 0.2500
Se 0.8750 0.9542 0.7500
Cl 0.2500 0.7500 0.5000
Cl 0.5000 0.5000 0.0000
Ru 0.7500 0.2500 0.5000
Ru 0.0000 0.0000 0.0000

Record 6
# RuSe2Cl

Crystalline RuSe2Cl at its relaxed geometry (PBE-GGA, Alexandria).

Results
**E above lowest polymorph**: 1.41 eV/f.u.
**Uncorrected formation energy**: 15.61 kJ/mol of atoms
**D(E_F)**: 3.25 states/eV/f.u.
**SG**: P4mm, No. 99

Unit cell a=2.9648 b=2.9648 c=10.3993 alpha=90.00 beta=90.00 gamma=90.00
Fractional positions:
Cl 0.0000 0.0000 0.6031
Se 0.0000 0.0000 0.9061
Se 0.5000 0.5000 0.2196
Ru 0.5000 0.5000 0.7711

Record 7
# RuSeCl2

Crystalline RuSeCl2 at its relaxed geometry (PBE-GGA, Alexandria).

Results
**E above lowest polymorph**: 1.57 eV/f.u.
**Uncorrected formation energy**: 5.53 kJ/mol of atoms
**D(E_F)**: 4.34 states/eV/f.u.
**SG**: I-42d, No. 122

Unit cell a=8.9998 b=8.9998 c=6.7892 alpha=48.49 beta=48.49 gamma=90.00
Fractional positions:
Ru 0.0000 0.0000 0.0000
Ru 0.7500 0.2500 0.5000
Cl 0.7768 0.1250 0.2500
Cl 0.9732 0.6250 0.2500
Cl 0.3750 0.2232 0.7500
Cl 0.8750 0.0268 0.7500
Se 0.2500 0.7500 0.5000
Se 0.5000 0.5000 0.0000

Record 8
# RuSe2Cl

Crystalline RuSe2Cl at its relaxed geometry (PBE-GGA, Alexandria).

Results
**E above lowest polymorph**: 0.03 eV/f.u.
**Uncorrected formation energy**: -17.48 kJ/mol of atoms
**D(E_F)**: 3.79 states/eV/f.u.
**SG**: R-3m, No. 166

Unit cell a=7.6898 b=7.6898 c=7.6898 alpha=28.74 beta=28.74 gamma=28.74
Fractional positions:
Se 0.8869 0.8869 0.8869
Se 0.1131 0.1131 0.1131
Ru 0.5000 0.5000 0.5000
Cl 0.0000 0.0000 0.0000

Record 9
# RuSe2Cl

Crystalline RuSe2Cl at its relaxed geometry (PBE-GGA, Alexandria).

Results
**E above lowest polymorph**: 1.59 eV/f.u.
**Uncorrected formation energy**: 19.93 kJ/mol of atoms
**D(E_F)**: 3.46 states/eV/f.u.
**SG**: Immm, No. 71

Unit cell a=6.2467 b=6.2467 c=6.2467 alpha=152.34 beta=135.47 gamma=53.23
Fractional positions:
Ru 0.7500 0.2500 0.5000
Se 0.9321 0.9321 0.0000
Se 0.5679 0.5679 0.0000
Cl 0.2500 0.7500 0.5000

Record 10
# RuSeCl2

Crystalline RuSeCl2 at its relaxed geometry (PBE-GGA, Alexandria).

Results
**E above lowest polymorph**: 4.95 eV/f.u.
**Uncorrected formation energy**: 87.03 kJ/mol of atoms
**D(E_F)**: 4.54 states/eV/f.u.
**SG**: Fm-3m, No. 225

Unit cell a=4.7403 b=4.7403 c=4.7403 alpha=60.00 beta=60.00 gamma=60.00
Fractional positions:
Cl 0.7500 0.7500 0.7500
Cl 0.2500 0.2500 0.2500
Se 0.0000 0.0000 0.0000
Ru 0.5000 0.5000 0.5000

Record 11
# RuSe2Cl

Crystalline RuSe2Cl at its relaxed geometry (PBE-GGA, Alexandria).

Results
**E above lowest polymorph**: 1.95 eV/f.u.
**Uncorrected formation energy**: 28.81 kJ/mol of atoms
**D(E_F)**: 3.66 states/eV/f.u.
**SG**: Pmm2, No. 25

Unit cell a=3.5787 b=3.2272 c=7.2515 alpha=90.00 beta=90.00 gamma=90.00
Fractional positions:
Se 0.5000 0.5000 0.1654
Se 0.0000 0.0000 0.9517
Cl 0.0000 0.0000 0.5632
Ru 0.5000 0.5000 0.8197

Record 12
# RuSeCl2

Crystalline RuSeCl2 at its relaxed geometry (PBE-GGA, Alexandria).

Results
**E above lowest polymorph**: 2.02 eV/f.u.
**Uncorrected formation energy**: 16.47 kJ/mol of atoms
**D(E_F)**: 0.27 states/eV/f.u.
**SG**: P4mm, No. 99

Unit cell a=3.4031 b=3.4032 c=7.5374 alpha=90.00 beta=90.00 gamma=90.00
Fractional positions:
Se 0.5000 0.5000 0.6935
Cl 0.0000 0.0000 0.9021
Cl 0.5000 0.5000 0.3332
Ru 0.0000 0.0000 0.5712

Record 13
# Ru2SeCl

Crystalline Ru2SeCl at its relaxed geometry (PBE-GGA, Alexandria).

Results
**E above lowest polymorph**: 0.67 eV/f.u.
**Uncorrected formation energy**: 21.79 kJ/mol of atoms
**D(E_F)**: 3.25 states/eV/f.u.
**SG**: C2/m, No. 12

Unit cell a=4.1284 b=4.1284 c=7.6953 alpha=59.69 beta=59.69 gamma=43.14
Fractional positions:
Se 0.7500 0.7500 0.7500
Cl 0.2500 0.2500 0.2500
Ru 0.5606 0.5606 0.5789
Ru 0.9394 0.9394 0.9211

Record 14
# RuSeCl2

Crystalline RuSeCl2 at its relaxed geometry (PBE-GGA, Alexandria).

Results
**E above lowest polymorph**: 5.00 eV/f.u.
**Uncorrected formation energy**: 88.37 kJ/mol of atoms
**D(E_F)**: 4.18 states/eV/f.u.
**SG**: Cmmm, No. 65

Unit cell a=5.1132 b=5.1132 c=3.0515 alpha=90.00 beta=90.00 gamma=106.48
Fractional positions:
Cl 0.0000 0.0000 0.0000
Cl 0.5000 0.5000 0.0000
Ru 0.5000 0.0000 0.5000
Se 0.0000 0.5000 0.5000

Record 15
# RuSeCl3

Crystalline RuSeCl3 at its relaxed geometry (PBE-GGA, Alexandria).

Results
**E above lowest polymorph**: 2.47 eV/f.u.
**Uncorrected formation energy**: 79.04 kJ/mol of atoms
**D(E_F)**: 1.52 states/eV/f.u.
**SG**: Pm-3m, No. 221

Unit cell a=5.1132 b=5.1132 c=5.1132 alpha=90.00 beta=90.00 gamma=90.00
Fractional positions:
Cl 0.0000 0.5000 0.0000
Cl 0.5000 0.0000 0.0000
Cl 0.0000 0.0000 0.5000
Se 0.0000 0.0000 0.0000
Ru 0.5000 0.5000 0.5000

Record 16
# Ru2SeCl

Crystalline Ru2SeCl at its relaxed geometry (PBE-GGA, Alexandria).

Results
**E above lowest polymorph**: 0.59 eV/f.u.
**Uncorrected formation energy**: 19.95 kJ/mol of atoms
**D(E_F)**: 6.28 states/eV/f.u.
**SG**: R3m, No. 160

Unit cell a=9.4947 b=9.4947 c=9.4947 alpha=18.00 beta=18.00 gamma=18.00
Fractional positions:
Ru 0.2547 0.2547 0.2547
Ru 0.9955 0.9955 0.9955
Se 0.5216 0.5216 0.5216
Cl 0.7281 0.7281 0.7281

Record 17
# RuSe2Cl

Crystalline RuSe2Cl at its relaxed geometry (PBE-GGA, Alexandria).

Results
**E above lowest polymorph**: 0.46 eV/f.u.
**Uncorrected formation energy**: -7.20 kJ/mol of atoms
**D(E_F)**: 5.37 states/eV/f.u.
**SG**: Cm, No. 8

Unit cell a=4.8444 b=4.8444 c=7.1662 alpha=68.02 beta=68.02 gamma=41.12
Fractional positions:
Cl 0.5999 0.5999 0.4142
Ru 0.2162 0.2162 0.1495
Se 0.9490 0.9490 0.0477
Se 0.7349 0.7349 0.8886

Record 18
# RuSeCl3

Crystalline RuSeCl3 at its relaxed geometry (PBE-GGA, Alexandria).

Results
**E above lowest polymorph**: 0.00 eV/f.u.
**Uncorrected formation energy**: 31.29 kJ/mol of atoms
**D(E_F)**: 7.83 states/eV/f.u.
**SG**: Pm-3m, No. 221

Unit cell a=4.7542 b=4.7542 c=4.7542 alpha=90.00 beta=90.00 gamma=90.00
Fractional positions:
Cl 0.0000 0.5000 0.0000
Cl 0.5000 0.0000 0.0000
Cl 0.0000 0.0000 0.5000
Ru 0.0000 0.0000 0.0000
Se 0.5000 0.5000 0.5000

Record 19
# RuSeCl

Crystalline RuSeCl at its relaxed geometry (PBE-GGA, Alexandria).

Results
**Uncorrected formation energy**: 7.13 kJ/mol of atoms
**D(E_F)**: 2.71 states/eV/f.u.
**SG**: F-43m, No. 216

Unit cell a=4.2847 b=4.2847 c=4.2847 alpha=60.00 beta=60.00 gamma=60.00
Fractional positions:
Se 0.0000 0.0000 0.0000
Ru 0.7500 0.7500 0.7500
Cl 0.5000 0.5000 0.5000

Record 20
# RuSe2Cl

Crystalline RuSe2Cl at its relaxed geometry (PBE-GGA, Alexandria).

Results
**E above lowest polymorph**: 2.96 eV/f.u.
**Uncorrected formation energy**: 53.02 kJ/mol of atoms
**D(E_F)**: 7.20 states/eV/f.u.
**SG**: Fm-3m, No. 225

Unit cell a=4.5876 b=4.5876 c=4.5876 alpha=60.00 beta=60.00 gamma=60.00
Fractional positions:
Se 0.7500 0.7500 0.7500
Se 0.2500 0.2500 0.2500
Cl 0.0000 0.0000 0.0000
Ru 0.5000 0.5000 0.5000